InTeCl2: optimized geometry, PBE.

Cell lengths 3.6285, 3.6285, 8.4340 Å; angles 90.00, 90.00, 90.00 degrees
Last column: nearest neighbours and their distance in Å.
Fractional positions:
Cl 0.0000 0.0000 0.9371  4 Te 3.05
Cl 0.5000 0.5000 0.3230  4 In 2.96
Te 0.5000 0.5000 0.7423  4 Cl 3.05, 4 In 3.29
In 0.0000 0.0000 0.4977  4 Cl 2.96, 4 Te 3.29

Properties
Crystal system: tetragonal
Space-group type: No. 99
Energy above the lowest structure with this stoichiometry, meV per atom: 448

=====

In2Te2Cl: optimized geometry, PBE.

Cell lengths 5.1277, 5.1277, 7.3608 Å; angles 69.62, 69.62, 90.00 degrees
Last column: nearest neighbours and their distance in Å.
Fractional positions:
Cl 0.0000 0.0000 0.0000  8 Te 4.02, 8 In 4.10
Te 0.3651 0.3651 0.2697  4 In 2.96
Te 0.6348 0.6348 0.7303  4 In 2.96
In 0.7500 0.2500 0.5000  4 Te 2.96
In 0.2500 0.7500 0.5000  4 Te 2.96

Properties
Crystal system: tetragonal
Space-group type: No. 139
Energy above the lowest structure with this stoichiometry, meV per atom: 157